[1]
Here is YWBr2 after structural relaxation from Alexandria. Energies are from PBE.

Unit cell a=7.5527 b=7.5527 c=7.5527 alpha=153.20 beta=143.57 gamma=45.80
Last column: nearest neighbours and their distance in Å.
Element x y z (fractional)
Y 0.0000 0.0000 0.0000  4 W 2.94, 4 Br 3.10
W 0.5000 0.5000 0.0000  4 Br 2.66, 4 Y 2.94
Br 0.3558 0.8558 0.5000  2 W 2.66
Br 0.6442 0.1442 0.5000  2 W 2.66

Results
ΔE_f (raw)   -43 meV per atom
Space group   Immm
Calculated total energy   -22.9 eV/cell

---

[2]
Here is YWBr2 after structural relaxation from Alexandria. Energies are from PBE.

Unit cell a=7.5708 b=7.5708 c=4.7658 alpha=90.96 beta=90.96 gamma=26.64
Last column: nearest neighbours and their distance in Å.
Element x y z (fractional)
Y 0.0000 0.0000 0.0000  4 W 2.95, 4 Br 2.99
W 0.5000 0.5000 0.5000  2 Br 2.53
Br 0.3526 0.3526 0.7630  1 W 2.53
Br 0.6474 0.6474 0.2370  1 W 2.53

Results
ΔE_f (raw)   -40 meV per atom
Space group   C2/m
Calculated total energy   -22.9 eV/cell

---

[3]
Here is YWBr2 after structural relaxation from Alexandria. Energies are from PBE.

Unit cell a=9.6310 b=9.6310 c=9.6310 alpha=19.69 beta=19.69 gamma=19.69
Last column: nearest neighbours and their distance in Å.
Element x y z (fractional)
Y 0.0000 0.0000 0.0000  6 Br 2.90
W 0.5000 0.5000 0.5000  2 Br 2.53
Br 0.4106 0.4106 0.4106  1 W 2.53
Br 0.5894 0.5894 0.5894  1 W 2.53

Results
ΔE_f (raw)   129 meV per atom
Space group   R-3m
Calculated total energy   -22.2 eV/cell